Record 1
VASP calculation (GGA-PBE) on crystalline Mg2Al2Zn at its relaxed geometry.

abc: 4.1194 4.1194 7.0078
angles: 72.91 72.91 90.00
With the nearest neighbours (Å) after each atom.
Fractional coordinates of all 5 atoms:
Mg 0.7500 0.2500 0.5000  4 Al 2.84, 4 Mg 2.91
Mg 0.2500 0.7500 0.5000  4 Al 2.84, 4 Mg 2.91
Zn 0.0000 0.0000 0.0000  8 Al 3.16
Al 0.4032 0.4032 0.1936  1 Al 2.47
Al 0.5968 0.5968 0.8064  1 Al 2.47

Properties
- calculated formation energy (eV per atom) = 0.30
- DOS at the Fermi energy (states/eV/f.u.) = 2.09
- volume (A^3/atom) = 21.63
- space-group type = I4/mmm (139)

Record 2
VASP calculation (GGA-PBE) on crystalline CoGe2Pb at its relaxed geometry.

abc: 4.9547 4.9547 8.2034
angles: 72.42 72.42 90.00
With the nearest neighbours (Å) after each atom.
Fractional coordinates of all 8 atoms:
Pb 0.0000 0.0000 0.0000  4 Ge 2.96
Pb 0.7500 0.2500 0.5000  4 Ge 2.96
Ge 0.4827 0.1250 0.2500  2 Co 2.29
Ge 0.2673 0.6250 0.2500  2 Co 2.29
Ge 0.3750 0.5173 0.7500  2 Co 2.29
Ge 0.8750 0.7327 0.7500  2 Co 2.29
Co 0.5000 0.5000 0.0000  4 Ge 2.29
Co 0.2500 0.7500 0.5000  4 Ge 2.29

Properties
- calculated formation energy (eV per atom) = 0.27
- DOS at the Fermi energy (states/eV/f.u.) = 3.54
- volume (A^3/atom) = 22.76
- space-group type = I-42d (122)

Record 3
VASP calculation (GGA-PBE) on crystalline Dy3Y8Ho4 at its relaxed geometry.

abc: 6.7306 9.2616 9.2616
angles: 87.51 111.28 111.28
With the nearest neighbours (Å) after each atom.
Fractional coordinates of all 15 atoms:
Dy 0.5000 0.5000 0.0000  4 Y 3.21-3.34, 2 Ho 3.37
Dy 0.5000 0.0000 0.5000  4 Y 3.21-3.34, 2 Ho 3.37
Dy 0.5000 0.5000 0.5000  6 Y 3.20-3.23
Y 0.5308 0.2669 0.2669  3 Dy 3.21-3.23, 2 Y 3.23-3.50, 2 Ho 3.47-3.56
Y 0.0000 0.6430 0.3570  2 Ho 3.61, 4 Dy 3.62-3.83, 7 Y 3.63-3.67
Y 0.0081 0.2646 0.2646  4 Ho 3.21-3.51, 1 Dy 3.22, 2 Y 3.23-3.50
Y 0.5000 0.7494 0.2506  3 Dy 3.20-3.34, 3 Ho 3.21-3.35
Y 0.5000 0.2506 0.7494  3 Dy 3.20-3.34, 3 Ho 3.21-3.35
Y 0.9919 0.7354 0.7354  4 Ho 3.21-3.51, 1 Dy 3.22, 2 Y 3.23-3.50
Y 0.0000 0.3570 0.6430  2 Ho 3.61, 4 Dy 3.62-3.83, 7 Y 3.63-3.67
Y 0.4692 0.7331 0.7331  3 Dy 3.21-3.23, 2 Y 3.23-3.50, 2 Ho 3.47-3.56
Ho 0.5000 0.0000 0.0000  6 Y 3.21-3.47, 2 Ho 3.37
Ho 0.0000 0.5000 0.0000  4 Y 3.21-3.35, 2 Dy 3.37
Ho 0.0000 0.0000 0.0000  2 Ho 3.37, 4 Y 3.51-3.56
Ho 0.0000 0.0000 0.5000  4 Y 3.21-3.35, 2 Dy 3.37

Properties
- calculated formation energy (eV per atom) = 0.40
- DOS at the Fermi energy (states/eV/f.u.) = 30.85
- volume (A^3/atom) = 33.25
- space-group type = C2/m (12)

Record 4
VASP calculation (GGA-PBE) on crystalline YTaIr at its relaxed geometry.

abc: 4.7785 7.8608 6.7564
angles: 90.00 90.00 90.00
With the nearest neighbours (Å) after each atom.
Fractional coordinates of all 12 atoms:
Y 0.2500 0.3106 0.5005  5 Ir 3.02-3.27, 5 Ta 3.13-3.31
Y 0.7500 0.6894 0.5005  5 Ir 3.02-3.27, 5 Ta 3.13-3.31
Y 0.7500 0.8106 0.0005  5 Ir 3.02-3.27, 5 Ta 3.13-3.31
Y 0.2500 0.1894 0.0005  5 Ir 3.02-3.27, 5 Ta 3.13-3.31
Ir 0.2500 0.9113 0.6927  2 Ta 2.49-2.58, 2 Ir 2.77
Ir 0.7500 0.0887 0.6927  2 Ta 2.49-2.58, 2 Ir 2.77
Ir 0.7500 0.4113 0.1927  2 Ta 2.49-2.58, 2 Ir 2.77
Ir 0.2500 0.5887 0.1927  2 Ta 2.49-2.58, 2 Ir 2.77
Ta 0.2500 0.8965 0.3243  2 Ir 2.49-2.58
Ta 0.7500 0.1035 0.3243  2 Ir 2.49-2.58
Ta 0.7500 0.3965 0.8243  2 Ir 2.49-2.58
Ta 0.2500 0.6035 0.8243  2 Ir 2.49-2.58

Properties
- calculated formation energy (eV per atom) = -0.35
- DOS at the Fermi energy (states/eV/f.u.) = 2.09
- volume (A^3/atom) = 21.15
- space-group type = Ima2 (46)

Record 5
VASP calculation (GGA-PBE) on crystalline CdAg2Bi at its relaxed geometry.

abc: 4.3250 4.5418 4.5418
angles: 90.00 90.00 90.00
With the nearest neighbours (Å) after each atom.
Fractional coordinates of all 4 atoms:
Bi 0.5000 0.0000 0.0000  8 Ag 3.14, 4 Cd 3.21
Ag 0.0000 0.0000 0.5000  4 Cd 3.14, 4 Bi 3.14, 4 Ag 3.21
Ag 0.0000 0.5000 0.0000  4 Cd 3.14, 4 Bi 3.14, 4 Ag 3.21
Cd 0.5000 0.5000 0.5000  8 Ag 3.14, 4 Bi 3.21

Properties
- calculated formation energy (eV per atom) = 0.07
- DOS at the Fermi energy (states/eV/f.u.) = 1.85
- volume (A^3/atom) = 22.30
- space-group type = P4/mmm (123)

Record 6
VASP calculation (GGA-PBE) on crystalline TaSN2 at its relaxed geometry.

abc: 5.3586 5.3586 5.9369
angles: 63.17 63.17 90.00
With the nearest neighbours (Å) after each atom.
Fractional coordinates of all 8 atoms:
S 0.5000 0.5000 0.0000  4 N 2.56
S 0.2500 0.7500 0.5000  4 N 2.56
N 0.7214 0.1250 0.2500  2 Ta 1.94
N 0.0286 0.6250 0.2500  2 Ta 1.94
N 0.3750 0.2786 0.7500  2 Ta 1.94
N 0.8750 0.9714 0.7500  2 Ta 1.94
Ta 0.0000 0.0000 0.0000  4 N 1.94
Ta 0.7500 0.2500 0.5000  4 N 1.94

Properties
- DOS at the Fermi energy (states/eV/f.u.) = 2.77
- formation energy (no corrections) (eV per atom) = 0.396
- volume (A^3/atom) = 16.41
- space-group type = I-42d (122)

Record 7
VASP calculation (GGA-PBE) on crystalline Pr6SmEr2Th at its relaxed geometry.

abc: 9.8283 8.9238 8.9238
angles: 116.01 94.34 94.34
With the nearest neighbours (Å) after each atom.
Fractional coordinates of all 20 atoms:
Pr 0.0584 0.1062 0.7606  7 Pr 3.49-3.89, 2 Er 3.52-3.77, 2 Th 3.62-3.84
Pr 0.4416 0.2394 0.8938  7 Pr 3.49-3.89, 2 Er 3.52-3.77, 2 Th 3.62-3.84
Pr 0.9416 0.8938 0.2394  7 Pr 3.49-3.89, 2 Er 3.52-3.77, 2 Th 3.62-3.84
Pr 0.5584 0.7606 0.1062  7 Pr 3.49-3.89, 2 Er 3.52-3.77, 2 Th 3.62-3.84
Pr 0.3132 0.9896 0.4244  2 Pr 3.36-3.76, 1 Th 3.44, 1 Sm 3.47, 1 Er 3.50
Pr 0.1868 0.5756 0.0104  2 Pr 3.36-3.76, 1 Th 3.44, 1 Sm 3.47, 1 Er 3.50
Pr 0.6868 0.0104 0.5756  2 Pr 3.36-3.76, 1 Th 3.44, 1 Sm 3.47, 1 Er 3.50
Pr 0.8132 0.4244 0.9896  2 Pr 3.36-3.76, 1 Th 3.44, 1 Sm 3.47, 1 Er 3.50
Pr 0.1189 0.7005 0.4876  3 Pr 3.34-3.49, 3 Er 3.34-3.51, 2 Sm 3.45-3.61
Pr 0.3811 0.5124 0.2995  3 Pr 3.34-3.49, 3 Er 3.34-3.51, 2 Sm 3.45-3.61
Pr 0.8811 0.2995 0.5124  3 Pr 3.34-3.49, 3 Er 3.34-3.51, 2 Sm 3.45-3.61
Pr 0.6189 0.4876 0.7005  3 Pr 3.34-3.49, 3 Er 3.34-3.51, 2 Sm 3.45-3.61
Sm 0.2500 0.4065 0.5935  6 Pr 3.45-3.61, 2 Er 3.57
Sm 0.7500 0.5935 0.4065  6 Pr 3.45-3.61, 2 Er 3.57
Er 0.4483 0.8024 0.7134  5 Pr 3.34-3.52, 2 Th 3.41-3.48, 1 Sm 3.57
Er 0.0517 0.2866 0.1976  5 Pr 3.34-3.52, 2 Th 3.41-3.48, 1 Sm 3.57
Er 0.5517 0.1976 0.2866  5 Pr 3.34-3.52, 2 Th 3.41-3.48, 1 Sm 3.57
Er 0.9483 0.7134 0.8024  5 Pr 3.34-3.52, 2 Th 3.41-3.48, 1 Sm 3.57
Th 0.2500 0.9690 0.0310  4 Er 3.41-3.48, 4 Pr 3.44-3.62
Th 0.7500 0.0310 0.9690  4 Er 3.41-3.48, 4 Pr 3.44-3.62

Properties
- calculated formation energy (eV per atom) = 0.14
- DOS at the Fermi energy (states/eV/f.u.) = 14.18
- volume (A^3/atom) = 34.81
- space-group type = C2/c (15)

Record 8
VASP calculation (GGA-PBE) on crystalline GaCoPdI2 at its relaxed geometry.

abc: 5.2465 4.8084 5.2465
angles: 90.00 90.00 90.00
With the nearest neighbours (Å) after each atom.
Fractional coordinates of all 5 atoms:
I 0.0000 0.0000 0.5000  2 Co 2.62
I 0.5000 0.0000 0.0000  2 Co 2.62
Co 0.0000 0.0000 0.0000  2 Pd 2.40, 4 I 2.62
Ga 0.5000 0.5000 0.5000  8 I 3.56, 4 Pd 3.71
Pd 0.0000 0.5000 0.0000  2 Co 2.40

Properties
- DOS at the Fermi energy (states/eV/f.u.) = 2.86
- formation energy (no corrections) (eV per atom) = 0.375
- volume (A^3/atom) = 26.47
- space-group type = P4/mmm (123)

Record 9
VASP calculation (GGA-PBE) on crystalline Sm3NpTl4Te8 at its relaxed geometry.

abc: 9.0393 9.6924 9.0398
angles: 117.80 120.00 90.00
With the nearest neighbours (Å) after each atom.
Fractional coordinates of all 16 atoms:
Sm 0.5000 0.5000 0.0000  6 Te 3.16
Sm 0.5000 0.5000 0.5000  6 Te 3.16
Sm 0.0000 0.5000 0.5000  6 Te 3.16
Np 0.0000 0.5000 0.0000  6 Te 3.15
Tl 0.5000 0.0000 0.0000  6 Te 3.49
Tl 0.5000 0.0000 0.5000  6 Te 3.48
Tl 0.0000 0.0000 0.0000  6 Te 3.48
Tl 0.0000 0.0000 0.5000  6 Te 3.48
Te 0.2386 0.7170 0.9785  1 Np 3.15, 2 Sm 3.16, 3 Tl 3.48-3.49
Te 0.2386 0.7170 0.4772  1 Np 3.15, 2 Sm 3.16, 3 Tl 3.48-3.49
Te 0.2605 0.2817 0.5211  3 Sm 3.16, 3 Tl 3.48
Te 0.7398 0.7170 0.9785  1 Np 3.15, 2 Sm 3.16, 3 Tl 3.48-3.49
Te 0.2602 0.2830 0.0215  1 Np 3.15, 2 Sm 3.16, 3 Tl 3.48-3.49
Te 0.7395 0.7183 0.4789  3 Sm 3.16, 3 Tl 3.48
Te 0.7614 0.2830 0.5228  1 Np 3.15, 2 Sm 3.16, 3 Tl 3.48-3.49
Te 0.7614 0.2830 0.0215  1 Np 3.15, 2 Sm 3.16, 3 Tl 3.48-3.49

Properties
- DOS at the Fermi energy (states/eV/f.u.) = 6.17
- formation energy (no corrections) (eV per atom) = -0.938
- volume (A^3/atom) = 36.12
- space-group type = R-3m (166)

Record 10
VASP calculation (GGA-PBE) on crystalline Cs6Au2SBr at its relaxed geometry.

abc: 8.9781 9.5391 12.9105
angles: 90.00 86.39 90.00
With the nearest neighbours (Å) after each atom.
Fractional coordinates of all 20 atoms:
Cs 0.3016 0.6763 0.0609  1 S 3.32, 1 Br 3.63, 1 Au 3.70
Cs 0.8016 0.8237 0.5609  1 S 3.32, 1 Br 3.63, 1 Au 3.70
Cs 0.6984 0.3237 0.9391  1 S 3.32, 1 Br 3.63, 1 Au 3.70
Cs 0.1984 0.1763 0.4391  1 S 3.32, 1 Br 3.63, 1 Au 3.70
Cs 0.3252 0.7061 0.4187  1 S 3.41, 1 Br 3.62, 1 Au 3.82
Cs 0.8252 0.7939 0.9187  1 S 3.41, 1 Br 3.62, 1 Au 3.82
Cs 0.6748 0.2939 0.5813  1 S 3.41, 1 Br 3.62, 1 Au 3.82
Cs 0.1748 0.2061 0.0813  1 S 3.41, 1 Br 3.62, 1 Au 3.82
Cs 0.8566 0.5652 0.2411  1 S 3.35, 1 Br 3.71, 1 Au 3.73
Cs 0.3566 0.9348 0.7411  1 S 3.35, 1 Br 3.71, 1 Au 3.73
Cs 0.1434 0.4348 0.7589  1 S 3.35, 1 Br 3.71, 1 Au 3.73
Cs 0.6434 0.0652 0.2589  1 S 3.35, 1 Br 3.71, 1 Au 3.73
Au 0.0344 0.9161 0.2662  6 Cs 3.70-4.15
Au 0.5344 0.5839 0.7662  6 Cs 3.70-4.15
Au 0.9656 0.0839 0.7338  6 Cs 3.70-4.15
Au 0.4656 0.4161 0.2338  6 Cs 3.70-4.15
S 0.5000 0.0000 0.5000  6 Cs 3.32-3.41
S 0.0000 0.5000 0.0000  6 Cs 3.32-3.41
Br 0.5000 0.0000 0.0000  6 Cs 3.62-3.71
Br 0.0000 0.5000 0.5000  6 Cs 3.62-3.71

Properties
- DOS at the Fermi energy (states/eV/f.u.) = 5.36
- formation energy (no corrections) (eV per atom) = -0.753
- volume (A^3/atom) = 55.17
- space-group type = P2_1/c (14)

Record 11
VASP calculation (GGA-PBE) on crystalline Li17Si11Ag at its relaxed geometry.

abc: 8.2824 8.2824 8.3077
angles: 109.85 109.85 108.96
With the nearest neighbours (Å) after each atom.
Fractional coordinates of all 29 atoms:
Li 0.0127 0.0127 0.3599  4 Li 2.69-2.94, 6 Si 2.76-2.91
Li 0.6910 0.6910 0.2900  4 Si 2.66-2.87, 1 Ag 2.67, 7 Li 2.80-2.93
Li 0.6473 0.6473 0.6401  4 Li 2.72-2.94, 6 Si 2.82-2.89
Li 0.3906 0.3906 0.7074  3 Si 2.55-2.65, 5 Li 2.83-2.86
Li 0.0025 0.0025 0.9995  4 Li 2.81-2.94, 11 Si 2.88-2.99, 1 Ag 2.91
Li 0.3150 0.6030 0.0013  4 Si 2.65-2.90, 7 Li 2.80-2.88, 1 Ag 2.85
Li 0.3945 0.7149 0.3980  4 Si 2.59-2.88, 6 Li 2.72-2.87, 1 Ag 2.73
Li 0.0004 0.3167 0.6018  5 Si 2.64-2.85, 7 Li 2.69-2.89
Li 0.9989 0.3415 0.0006  4 Li 2.76-2.81, 5 Si 2.79-2.87, 1 Ag 2.80
Li 0.2891 0.6842 0.6861  5 Si 2.60-2.91, 7 Li 2.77-2.89
Li 0.6019 0.9993 0.3147  5 Si 2.62-2.89, 7 Li 2.76-2.87
Li 0.9993 0.6019 0.3147  5 Si 2.62-2.89, 7 Li 2.76-2.87
Li 0.6842 0.2891 0.6861  5 Si 2.60-2.91, 7 Li 2.77-2.89
Li 0.3415 0.9989 0.0006  4 Li 2.76-2.81, 5 Si 2.79-2.87, 1 Ag 2.80
Li 0.3167 0.0004 0.6018  5 Si 2.64-2.85, 7 Li 2.69-2.89
Li 0.7149 0.3945 0.3980  4 Si 2.59-2.88, 6 Li 2.72-2.87, 1 Ag 2.73
Li 0.6030 0.3150 0.0013  4 Si 2.65-2.90, 7 Li 2.80-2.88, 1 Ag 2.85
Si 0.1838 0.1838 0.8053  1 Ag 2.50, 2 Si 2.52, 3 Li 2.55-2.64
Si 0.6330 0.8121 0.9989  3 Si 2.41-2.53, 2 Li 2.65-2.67
Si 0.1789 0.3666 0.3705  2 Si 2.41-2.53, 2 Li 2.60-2.65, 1 Ag 2.60
Si 0.8113 0.9989 0.6327  3 Si 2.42-2.53, 2 Li 2.62-2.66
Si 0.6365 0.9992 0.8140  3 Si 2.42-2.55, 1 Li 2.64
Si 0.8219 0.1868 0.1924  3 Si 2.41-2.55, 2 Li 2.59-2.69
Si 0.1868 0.8219 0.1924  3 Si 2.41-2.55, 2 Li 2.59-2.69
Si 0.9992 0.6365 0.8140  3 Si 2.42-2.55, 1 Li 2.64
Si 0.9989 0.8113 0.6327  3 Si 2.42-2.53, 2 Li 2.62-2.66
Si 0.3666 0.1789 0.3705  2 Si 2.41-2.53, 2 Li 2.60-2.65, 1 Ag 2.60
Si 0.8121 0.6330 0.9989  3 Si 2.41-2.53, 2 Li 2.65-2.67
Ag 0.3675 0.3675 0.1756  3 Si 2.50-2.60, 3 Li 2.67-2.73

Properties
- DOS at the Fermi energy (states/eV/f.u.) = 6.95
- formation energy (no corrections) (eV per atom) = -0.227
- volume (A^3/atom) = 15.08
- space-group type = Cm (8)

Record 12
VASP calculation (GGA-PBE) on crystalline ZrHgSb2 at its relaxed geometry.

abc: 4.3912 3.9585 6.1368
angles: 68.52 90.00 90.00
With the nearest neighbours (Å) after each atom.
Fractional coordinates of all 4 atoms:
Hg 0.5000 0.5342 0.8209  5 Sb 2.90-2.99, 2 Zr 3.02
Sb 0.0000 0.9903 0.8929  4 Hg 2.98-2.99, 3 Zr 3.10-3.26
Sb 0.5000 0.2712 0.3287  1 Hg 2.90, 4 Zr 3.03-3.06
Zr 0.0000 0.7043 0.4575  2 Hg 3.02, 7 Sb 3.03-3.26

Properties
- DOS at the Fermi energy (states/eV/f.u.) = 2.40
- formation energy (no corrections) (eV per atom) = -0.253
- volume (A^3/atom) = 24.82
- space-group type = Pm (6)